Record 1
A plane-wave DFT calculation with PBE was carried out for a relaxed structure of ThSiNi4.

Summary:
**Fermi-level density of states**: 0.627 states/eV/atom
**SG**: No. 63

Lattice parameters (Å, degrees): 7.5571 7.5571 6.3229 90.00 90.00 151.16
Atoms (fractional coordinates):
Th (0.1057, 0.8943, 0.7500)
Th (0.8943, 0.1057, 0.2500)
Si (0.2333, 0.7667, 0.2500)
Si (0.7667, 0.2333, 0.7500)
Ni (0.0799, 0.9201, 0.2500)
Ni (0.3173, 0.6827, 0.5569)
Ni (0.3173, 0.6827, 0.9431)
Ni (0.5000, 0.5000, 0.0000)
Ni (0.5000, 0.5000, 0.5000)
Ni (0.6827, 0.3173, 0.0569)
Ni (0.6827, 0.3173, 0.4431)
Ni (0.9201, 0.0799, 0.7500)


Record 2
A plane-wave DFT calculation with PBE was carried out for a relaxed structure of Th2Si7Ni12.

Summary:
**Fermi-level density of states**: 0.543 states/eV/atom
**SG**: No. 174

Lattice parameters (Å, degrees): 9.2359 9.2359 3.7943 90.00 90.00 120.00
Atoms (fractional coordinates):
Th (0.0000, 0.0000, 0.0000)
Th (0.3333, 0.6667, 0.5000)
Si (0.0499, 0.4450, 0.0000)
Si (0.2718, 0.2417, 0.5000)
Si (0.3952, 0.9501, 0.0000)
Si (0.5550, 0.6048, 0.0000)
Si (0.6667, 0.3333, 0.0000)
Si (0.7583, 0.0300, 0.5000)
Si (0.9700, 0.7282, 0.5000)
Ni (0.0347, 0.2805, 0.5000)
Ni (0.1173, 0.7276, 0.0000)
Ni (0.2458, 0.9653, 0.5000)
Ni (0.2724, 0.3898, 0.0000)
Ni (0.3890, 0.1931, 0.0000)
Ni (0.5623, 0.4285, 0.5000)
Ni (0.5715, 0.1339, 0.5000)
Ni (0.6102, 0.8827, 0.0000)
Ni (0.7195, 0.7542, 0.5000)
Ni (0.8040, 0.6110, 0.0000)
Ni (0.8069, 0.1960, 0.0000)
Ni (0.8661, 0.4377, 0.5000)


Record 3
A plane-wave DFT calculation with PBE was carried out for a relaxed structure of ThSi4Ni12.

Summary:
**Fermi-level density of states**: 0.344 states/eV/atom
**SG**: No. 204

Lattice parameters (Å, degrees): 6.7587 6.7587 6.7587 109.47 109.47 109.47
Atoms (fractional coordinates):
Th (0.0000, 0.0000, 0.0000)
Si (0.0000, 0.0000, 0.5000)
Si (0.0000, 0.5000, 0.0000)
Si (0.5000, 0.0000, 0.0000)
Si (0.5000, 0.5000, 0.5000)
Ni (0.1605, 0.5112, 0.3507)
Ni (0.1605, 0.8098, 0.6493)
Ni (0.1902, 0.3507, 0.8395)
Ni (0.3507, 0.1605, 0.5112)
Ni (0.3507, 0.8395, 0.1902)
Ni (0.4888, 0.6493, 0.8395)
Ni (0.5112, 0.3507, 0.1605)
Ni (0.6493, 0.1605, 0.8098)
Ni (0.6493, 0.8395, 0.4888)
Ni (0.8098, 0.6493, 0.1605)
Ni (0.8395, 0.1902, 0.3507)
Ni (0.8395, 0.4888, 0.6493)


Record 4
A plane-wave DFT calculation with PBE was carried out for a relaxed structure of ThSi2Ni.

Summary:
**Fermi-level density of states**: 0.299 states/eV/atom
**SG**: No. 62

Lattice parameters (Å, degrees): 6.7320 4.0625 10.3447 90.00 90.00 90.00
Atoms (fractional coordinates):
Th (0.1578, 0.2500, 0.1276)
Th (0.3422, 0.7500, 0.6276)
Th (0.6578, 0.2500, 0.3724)
Th (0.8422, 0.7500, 0.8724)
Si (0.1549, 0.2500, 0.4285)
Si (0.1715, 0.2500, 0.8317)
Si (0.3285, 0.7500, 0.3317)
Si (0.3451, 0.7500, 0.9285)
Si (0.6549, 0.2500, 0.0715)
Si (0.6715, 0.2500, 0.6683)
Si (0.8285, 0.7500, 0.1683)
Si (0.8451, 0.7500, 0.5715)
Ni (0.0084, 0.2500, 0.6378)
Ni (0.4916, 0.7500, 0.1378)
Ni (0.5084, 0.2500, 0.8622)
Ni (0.9916, 0.7500, 0.3622)


Record 5
A plane-wave DFT calculation with PBE was carried out for a relaxed structure of ThSi2Ni3.

Summary:
**Fermi-level density of states**: 0.652 states/eV/atom
**SG**: No. 12

Lattice parameters (Å, degrees): 7.6486 7.6486 7.0036 113.86 113.86 29.29
Atoms (fractional coordinates):
Th (0.1556, 0.1556, 0.0732)
Th (0.8444, 0.8444, 0.9268)
Si (0.1821, 0.1821, 0.6539)
Si (0.4789, 0.4789, 0.8138)
Si (0.5211, 0.5211, 0.1862)
Si (0.8179, 0.8179, 0.3461)
Ni (0.0341, 0.0341, 0.3636)
Ni (0.3164, 0.3164, 0.5588)
Ni (0.4078, 0.4078, 0.3314)
Ni (0.5922, 0.5922, 0.6686)
Ni (0.6836, 0.6836, 0.4412)
Ni (0.9659, 0.9659, 0.6364)


Record 6
A plane-wave DFT calculation with PBE was carried out for a relaxed structure of ThSiNi11.

Summary:
**Fermi-level density of states**: 1.539 states/eV/atom
**SG**: No. 12

Lattice parameters (Å, degrees): 6.2611 6.2611 6.2617 97.33 97.33 135.96
Atoms (fractional coordinates):
Th (0.0000, 0.0000, 0.0000)
Si (0.5000, 0.5000, 0.5000)
Ni (0.0000, 0.0000, 0.5000)
Ni (0.0000, 0.5000, 0.0000)
Ni (0.0143, 0.6600, 0.6476)
Ni (0.2821, 0.5080, 0.7678)
Ni (0.3400, 0.9857, 0.3524)
Ni (0.4920, 0.7179, 0.2322)
Ni (0.5000, 0.0000, 0.0000)
Ni (0.5080, 0.2821, 0.7678)
Ni (0.6600, 0.0143, 0.6476)
Ni (0.7179, 0.4920, 0.2322)
Ni (0.9857, 0.3400, 0.3524)


| no. | uncorrected formation energy (eV per atom) |
| --- | --- |
| 1 | -0.474 |
| 2 | -0.665 |
| 3 | -0.049 |
| 4 | -0.804 |
| 5 | -0.705 |
| 6 | -0.303 |